Entry from Alexandria via LeMat-Bulk: NaCuPb2 after structural relaxation (GGA-PBE).

## Properties
formation energy: 0.031 eV/atom
uncorrected energy: -3.177 eV/atom

abc: 3.4072 3.4072 8.6600
angles: 90.00 90.00 90.00
Fractional positions:
Na 0.5000 0.5000 0.5000
Cu 0.5000 0.5000 0.0000
Pb 0.0000 0.0000 0.2013
Pb 0.0000 0.0000 0.7987



Entry from Alexandria via LeMat-Bulk: NaCuPb3 after structural relaxation (GGA-PBE).

## Properties
E above lowest polymorph: 0.0 meV/atom
formation energy: 0.143 eV/atom
uncorrected energy: -3.165 eV/atom

abc: 5.3556 5.3556 5.3556
angles: 90.00 90.00 90.00
Fractional positions:
Pb 0.5000 0.0000 0.0000
Pb 0.0000 0.5000 0.0000
Pb 0.0000 0.0000 0.5000
Cu 0.0000 0.0000 0.0000
Na 0.5000 0.5000 0.5000



Entry from Alexandria via LeMat-Bulk: NaCuPb2 after structural relaxation (GGA-PBE).

## Properties
formation energy: 0.261 eV/atom
uncorrected energy: -2.947 eV/atom

abc: 4.6891 4.6891 10.4821
angles: 77.08 77.08 90.00
Fractional positions:
Pb 0.8750 0.9007 0.7500
Pb 0.3750 0.3493 0.7500
Pb 0.6507 0.1250 0.2500
Pb 0.0993 0.6250 0.2500
Cu 0.7500 0.2500 0.5000
Cu 0.0000 0.0000 0.0000
Na 0.5000 0.5000 0.0000
Na 0.2500 0.7500 0.5000



Entry from Alexandria via LeMat-Bulk: Na2Cu2Pb after structural relaxation (GGA-PBE).

## Properties
E above lowest polymorph: 214.6 meV/atom
formation energy: 0.359 eV/atom
uncorrected energy: -2.549 eV/atom

abc: 8.3148 8.3148 3.1569
angles: 90.00 90.00 90.00
Fractional positions:
Na 0.3708 0.8708 0.0000
Na 0.8708 0.6292 0.0000
Na 0.6292 0.1292 0.0000
Na 0.1292 0.3708 0.0000
Pb 0.0000 0.0000 0.0000
Pb 0.5000 0.5000 0.0000
Cu 0.3305 0.1695 0.5000
Cu 0.6695 0.8305 0.5000
Cu 0.8305 0.3305 0.5000
Cu 0.1695 0.6695 0.5000



Entry from Alexandria via LeMat-Bulk: NaCuPb2 after structural relaxation (GGA-PBE).

## Properties
formation energy: 0.037 eV/atom
uncorrected energy: -3.171 eV/atom

abc: 4.5207 4.5207 6.7648
angles: 70.48 70.48 60.00
Fractional positions:
Pb 0.2774 0.2774 0.1679
Pb 0.7226 0.7226 0.8321
Na 0.5000 0.5000 0.5000
Cu 0.0000 0.0000 0.0000



Entry from Alexandria via LeMat-Bulk: NaCu2Pb after structural relaxation (GGA-PBE).

## Properties
formation energy: 0.332 eV/atom
uncorrected energy: -2.973 eV/atom

abc: 4.8060 4.8060 9.8229
angles: 75.84 75.84 90.00
Fractional positions:
Pb 0.0000 0.0000 0.0000
Pb 0.7500 0.2500 0.5000
Na 0.2500 0.7500 0.5000
Na 0.5000 0.5000 0.0000
Cu 0.8750 0.1256 0.7500
Cu 0.8756 0.1250 0.2500
Cu 0.3750 0.1244 0.7500
Cu 0.8744 0.6250 0.2500



Entry from Alexandria via LeMat-Bulk: NaCu2Pb2 after structural relaxation (GGA-PBE).

## Properties
E above lowest polymorph: 0.0 meV/atom
formation energy: 0.119 eV/atom
uncorrected energy: -3.267 eV/atom

abc: 7.6828 7.6828 3.7204
angles: 90.00 90.00 90.00
Fractional positions:
Cu 0.6162 0.1162 0.0000
Cu 0.3838 0.8838 0.0000
Cu 0.8838 0.6162 0.0000
Cu 0.1162 0.3838 0.0000
Na 0.5000 0.5000 0.0000
Na 0.0000 0.0000 0.0000
Pb 0.1762 0.6762 0.5000
Pb 0.8238 0.3238 0.5000
Pb 0.6762 0.8238 0.5000
Pb 0.3238 0.1762 0.5000



Entry from Alexandria via LeMat-Bulk: Na2Cu2Pb after structural relaxation (GGA-PBE).

## Properties
E above lowest polymorph: 0.0 meV/atom
formation energy: 0.144 eV/atom
uncorrected energy: -2.764 eV/atom

abc: 6.8996 6.8996 4.7517
angles: 90.00 90.00 90.00
Fractional positions:
Na 0.6741 0.8259 0.5000
Na 0.8259 0.3259 0.5000
Na 0.3259 0.1741 0.5000
Na 0.1741 0.6741 0.5000
Cu 0.8759 0.6241 0.0000
Cu 0.1241 0.3759 0.0000
Cu 0.3759 0.8759 0.0000
Cu 0.6241 0.1241 0.0000
Pb 0.5000 0.5000 0.0000
Pb 0.0000 0.0000 0.0000



Entry from Alexandria via LeMat-Bulk: Na3CuPb after structural relaxation (GGA-PBE).

## Properties
E above lowest polymorph: 0.0 meV/atom
formation energy: 0.282 eV/atom
uncorrected energy: -2.071 eV/atom

abc: 5.3541 5.3541 5.3541
angles: 90.00 90.00 90.00
Fractional positions:
Na 0.0000 0.5000 0.0000
Na 0.0000 0.0000 0.5000
Na 0.5000 0.0000 0.0000
Pb 0.5000 0.5000 0.5000
Cu 0.0000 0.0000 0.0000



Entry from Alexandria via LeMat-Bulk: NaCu2Pb2 after structural relaxation (GGA-PBE).

## Properties
E above lowest polymorph: 44.9 meV/atom
formation energy: 0.163 eV/atom
uncorrected energy: -3.222 eV/atom

abc: 5.0363 5.0363 5.9568
angles: 64.99 64.99 90.00
Fractional positions:
Na 0.0000 0.0000 0.0000
Cu 0.6248 0.6248 0.7503
Cu 0.3752 0.3752 0.2497
Pb 0.2500 0.7500 0.5000
Pb 0.7500 0.2500 0.5000



Entry from Alexandria via LeMat-Bulk: NaCu2Pb2 after structural relaxation (GGA-PBE).

## Properties
E above lowest polymorph: 54.9 meV/atom
formation energy: 0.173 eV/atom
uncorrected energy: -3.212 eV/atom

abc: 4.6337 4.6337 6.6744
angles: 69.69 69.69 90.00
Fractional positions:
Pb 0.6340 0.6340 0.7321
Pb 0.3660 0.3660 0.2679
Cu 0.7500 0.2500 0.5000
Cu 0.2500 0.7500 0.5000
Na 0.0000 0.0000 0.0000



Entry from Alexandria via LeMat-Bulk: Na2Cu2Pb after structural relaxation (GGA-PBE).

## Properties
E above lowest polymorph: 182.1 meV/atom
formation energy: 0.326 eV/atom
uncorrected energy: -2.582 eV/atom

abc: 4.1560 4.1560 7.1322
angles: 73.06 73.06 90.00
Fractional positions:
Pb 0.0000 0.0000 0.0000
Na 0.2500 0.7500 0.5000
Na 0.7500 0.2500 0.5000
Cu 0.4099 0.4099 0.1802
Cu 0.5901 0.5901 0.8198



Entry from Alexandria via LeMat-Bulk: NaCuPb3 after structural relaxation (GGA-PBE).

## Properties
E above lowest polymorph: 693.4 meV/atom
formation energy: 0.836 eV/atom
uncorrected energy: -2.472 eV/atom

abc: 5.5119 5.5119 5.5119
angles: 90.00 90.00 90.00
Fractional positions:
Na 0.0000 0.0000 0.0000
Pb 0.0000 0.5000 0.0000
Pb 0.0000 0.0000 0.5000
Pb 0.5000 0.0000 0.0000
Cu 0.5000 0.5000 0.5000



Entry from Alexandria via LeMat-Bulk: NaCu2Pb2 after structural relaxation (GGA-PBE).

## Properties
E above lowest polymorph: 62.4 meV/atom
formation energy: 0.181 eV/atom
uncorrected energy: -3.205 eV/atom

abc: 8.3294 8.3294 3.2595
angles: 90.00 90.00 90.00
Fractional positions:
Cu 0.3579 0.1421 0.5000
Cu 0.6421 0.8579 0.5000
Cu 0.1421 0.6421 0.5000
Cu 0.8579 0.3579 0.5000
Pb 0.8483 0.6517 0.0000
Pb 0.6517 0.1517 0.0000
Pb 0.3483 0.8483 0.0000
Pb 0.1517 0.3483 0.0000
Na 0.0000 0.0000 0.0000
Na 0.5000 0.5000 0.0000



Entry from Alexandria via LeMat-Bulk: NaPrCuPb after structural relaxation (GGA-PBE).

## Properties
formation energy: -0.123 eV/atom
uncorrected energy: -3.599 eV/atom

abc: 5.2672 5.2672 5.2672
angles: 60.00 60.00 60.00
Fractional positions:
Cu 0.5000 0.5000 0.5000
Pr 0.7500 0.7500 0.7500
Na 0.2500 0.2500 0.2500
Pb 0.0000 0.0000 0.0000



Entry from Alexandria via LeMat-Bulk: NaCuPtPb after structural relaxation (GGA-PBE).

## Properties
formation energy: -0.029 eV/atom
uncorrected energy: -3.820 eV/atom

abc: 4.7278 4.7278 4.7278
angles: 60.00 60.00 60.00
Fractional positions:
Na 0.7500 0.7500 0.7500
Cu 0.5000 0.5000 0.5000
Pt 0.2500 0.2500 0.2500
Pb 0.0000 0.0000 0.0000



Entry from Alexandria via LeMat-Bulk: RbNa2CuPb after structural relaxation (GGA-PBE).

## Properties
formation energy: 0.059 eV/atom
uncorrected energy: -2.223 eV/atom

abc: 5.7887 5.7887 5.1156
angles: 90.00 90.00 90.00
Fractional positions:
Cu 0.0000 0.0000 0.0000
Na 0.0000 0.5000 0.0000
Na 0.5000 0.0000 0.0000
Rb 0.5000 0.5000 0.5000
Pb 0.0000 0.0000 0.5000



Entry from Alexandria via LeMat-Bulk: NaCuRePb2 after structural relaxation (GGA-PBE).

## Properties
formation energy: 1.893 eV/atom
uncorrected energy: -3.163 eV/atom

abc: 5.3312 5.0249 5.3312
angles: 90.00 90.00 90.00
Fractional positions:
Re 0.0000 0.5000 0.0000
Pb 0.0000 0.0000 0.5000
Pb 0.5000 0.0000 0.0000
Cu 0.5000 0.5000 0.5000
Na 0.0000 0.0000 0.0000



Entry from Alexandria via LeMat-Bulk: NaCu2RuPb after structural relaxation (GGA-PBE).

## Properties
formation energy: 1.536 eV/atom
uncorrected energy: -2.963 eV/atom

abc: 4.4733 5.2251 4.4733
angles: 90.00 90.00 90.00
Fractional positions:
Cu 0.5000 0.0000 0.0000
Cu 0.0000 0.0000 0.5000
Na 0.0000 0.0000 0.0000
Ru 0.5000 0.5000 0.5000
Pb 0.0000 0.5000 0.0000



Entry from Alexandria via LeMat-Bulk: NaCuPbS2 after structural relaxation (GGA-PBE).

## Properties
uncorrected energy: -4.049 eV/atom

abc: 4.8818 6.8213 7.6334
angles: 102.25 90.00 90.00
Fractional positions:
S 0.2485 0.7364 0.4558
S 0.7515 0.2636 0.5442
S 0.2485 0.2636 0.0442
S 0.7515 0.7364 0.9558
Na 0.4838 0.0000 0.2500
Na 0.5162 0.0000 0.7500
Pb 0.8418 0.5000 0.2500
Pb 0.1582 0.5000 0.7500
Cu 0.0000 0.0000 0.0000
Cu 0.0000 0.0000 0.5000